ZnInAu2: optimized geometry, PBE-GGA.

Calculated values
formation energy from the elements = -0.034 eV/atom

Unit cell a=4.269 b=4.269 c=9.672 alpha=77.25 beta=77.25 gamma=90.00
Positions (direct):
1 Au 0.604 0.125 0.250
2 Au 0.375 0.396 0.750
3 Au 0.875 0.854 0.750
4 In 0.000 0.000 0.000
5 Au 0.146 0.625 0.250
6 In 0.750 0.250 0.500
7 Zn 0.250 0.750 0.500
8 Zn 0.500 0.500 0.000